Below is a geometry-optimized SrGe2Se4 structure, with properties calculated at the PBE level.

Structure (extended XYZ):
```
14
Lattice="7.9910 0.0000 0.0000 0.0000 7.9910 0.0000 0.0000 0.0000 6.4080" Properties=species:S:1:pos:R:3 pbc="T T T"
Sr 0.0000 0.0000 0.0000
Sr 3.9955 3.9955 3.2040
Ge 0.0000 3.9955 1.6020
Ge 0.0000 3.9955 4.8060
Ge 3.9955 0.0000 1.6020
Ge 3.9955 0.0000 4.8060
Se 1.2667 2.4600 3.2040
Se 1.5355 5.2622 0.0000
Se 2.4600 6.7242 3.2040
Se 2.7287 1.5355 0.0000
Se 5.2622 6.4555 0.0000
Se 5.5310 1.2667 3.2040
Se 6.4555 2.7287 0.0000
Se 6.7242 5.5310 3.2040
```

Values from the calculation:
- Total energy: -58.5 eV/cell
- ΔE_f (raw): -0.63 eV per atom
- Size of the total moment: 0.0000 μB per atom
- Calculated volume: 29.228 A^3/atom